## SbOsPt2 (meta-GGA SCAN)

Data for a PBEsol-optimized structure of SbOsPt2.

Cell and atoms, written as POSCAR:
```
SbOsPt2
1.0
4.6292 -1.5171 0.0000
4.6292 1.5171 0.0000
-0.6828 0.0000 4.6200
Sb Os Pt
1 1 2
Direct
0.0000 0.0000 0.0000
0.5000 0.5000 0.5000
0.2377 0.2377 0.7354
0.7623 0.7623 0.2646
```

Computed properties:
Uncorrected formation energy ... 0.324 eV/atom
Size of the total moment ... 0.00 μB/f.u.
Crystal system ... monoclinic
Energy ... -248.23 eV/f.u.